Al2GeSb2 | PBE | optimized geometry

```
10
Lattice="-3.4222 -3.6949 5.5016 -5.2973 -2.1956 -4.7697 2.1379 -3.2724 -0.8679" Properties=species:S:1:pos:R:3 pbc="T T T"
Sb -3.1489 -3.7942 -2.6871
Sb -5.6020 -5.9491 -0.6044
Sb -3.4327 -5.3688 2.5511
Sb -0.9796 -3.2139 0.4683
Ge 0.0000 0.0000 0.0000
Ge -4.3598 -2.9453 0.3659
Al -5.8905 -3.2879 -2.1127
Al -6.3113 -4.6005 1.8000
Al -2.8290 -2.6026 2.8446
Al -2.4083 -1.2900 -1.0681
```

Polymorph energy (0 for the lowest one) = 0 meV/atom
Space-group type = P4/mbm, No. 127
Total moment = 0.00 Bohr magnetons per cell
E_form (uncorrected) = 0.21 eV per atom
DOS at the Fermi energy = 0.614 states/eV per atom